The following is a PBE-GGA calculation of a relaxed TlFeGe2Te crystal, from Alexandria via LeMat-Bulk.

Cell: 5.188 5.188 5.947 Å, 90.00 90.00 90.00°
Positions (direct):
1 Tl 0.000 0.000 0.000
2 Fe 0.500 0.500 0.000
3 Ge 0.000 0.500 0.500
4 Ge 0.500 0.000 0.500
5 Te 0.000 0.000 0.500

SG: P4/mmm (123)
Uncorrected formation energy (eV per atom): 1.369
Total DFT energy (no corrections) (eV per atom): -3.2716
Calculated density (kg/m³): 5531

=====

The following is a PBE-GGA calculation of a relaxed MgNpRhO6 crystal, from Alexandria via LeMat-Bulk.

Cell: 5.288 5.288 8.691 Å, 90.00 90.00 120.00°
Positions (direct):
1 Mg 0.333 0.667 0.250
2 Mg 0.667 0.333 0.750
3 Np 0.333 0.667 0.750
4 Np 0.667 0.333 0.250
5 Rh 0.000 0.000 0.000
6 Rh 0.000 0.000 0.500
7 O 0.008 0.332 0.628
8 O 0.008 0.676 0.872
9 O 0.324 0.332 0.872
10 O 0.324 0.992 0.628
11 O 0.332 0.008 0.128
12 O 0.332 0.324 0.372
13 O 0.668 0.676 0.628
14 O 0.668 0.992 0.872
15 O 0.676 0.008 0.372
16 O 0.676 0.668 0.128
17 O 0.992 0.324 0.128
18 O 0.992 0.668 0.372

SG: P-31c (163)
Uncorrected formation energy (eV per atom): -1.977
Total DFT energy (no corrections) (eV per atom): -7.7145
Calculated density (kg/m³): 7261